# PBE-GGA CoOsBr2, optimized geometry
data_CoOsBr2
_chemical_formula_sum 'Co1 Os1 Br2'
_cell_length_a 8.251
_cell_length_b 8.251
_cell_length_c 8.251
_cell_angle_alpha 22.67
_cell_angle_beta 22.67
_cell_angle_gamma 22.67
_space_group_name_H-M_alt 'P 1'
_space_group_IT_number 1
loop_
_space_group_symop_operation_xyz
'x,y,z'
loop_
_atom_site_label
_atom_site_type_symbol
_atom_site_fract_x
_atom_site_fract_y
_atom_site_fract_z
Co1 Co 0.500 0.500 0.500
Os1 Os 0.000 0.000 0.000
Br1 Br 0.900 0.900 0.900
Br2 Br 0.100 0.100 0.100
# Crystal system: trigonal
# Space-group type: R-3m
# Uncorrected formation energy, eV per atom: 0.90
# DOS(E_F), states/eV/atom: 1.235